Material: RbNpP2S8
Method: DFT, PBE
State: optimized geometry

a = 6.171 Å, b = 6.171 Å, c = 10.595 Å
α = 73.07°, β = 73.07°, γ = 60.00°
Last column: magnetic moment on the atom in μB.
Fractional coordinates of all 12 atoms:
1 Rb 0.500 0.500 0.500  0.00
2 Np 0.000 0.000 0.000  2.90
3 P 0.258 0.258 0.225  0.01
4 P 0.742 0.742 0.775  0.01
5 S 0.192 0.192 0.423  -0.06
6 S 0.595 0.294 0.154  -0.09
7 S 0.808 0.808 0.577  -0.06
8 S 0.958 0.595 0.154  -0.09
9 S 0.042 0.405 0.846  -0.09
10 S 0.294 0.958 0.154  -0.09
11 S 0.706 0.042 0.846  -0.09
12 S 0.405 0.706 0.846  -0.09

Values from the calculation:
Magnetization ... 2.0 μB/cell
Energy relative to the elements, uncorrected ... -0.558 eV/atom